[1]
ZrCoBiOs after structural relaxation, computed with PBE.

Output
For the distance to the lowest polymorph of the same formula, the calculation gives 0.0 meV/atom.

a = 6.5791 Å, b = 6.5791 Å, c = 6.5791 Å
α = 90.00°, β = 90.00°, γ = 90.00°
Space group F-43m (No. 216)
Inequivalent atoms, fractional coordinates:
Zr (0.0000, 0.0000, 0.0000) (multiplicity 4)
Co (0.2500, 0.2500, 0.7500) (multiplicity 4)
Bi (0.0000, 0.0000, 0.5000) (multiplicity 4)
Os (0.2500, 0.2500, 0.2500) (multiplicity 4)

***

[2]
ZrCoBiOs after structural relaxation, computed with PBE.

Output
For the distance to the lowest polymorph of the same formula, the calculation gives 353.1 meV/atom.

a = 6.6146 Å, b = 6.6146 Å, c = 6.6146 Å
α = 90.00°, β = 90.00°, γ = 90.00°
Space group F-43m (No. 216)
Inequivalent atoms, fractional coordinates:
Zr (0.0000, 0.0000, 0.0000) (multiplicity 4)
Co (0.0000, 0.0000, 0.5000) (multiplicity 4)
Bi (0.2500, 0.2500, 0.2500) (multiplicity 4)
Os (0.2500, 0.2500, 0.7500) (multiplicity 4)

***

[3]
CoBiPd2 after structural relaxation, computed with PBE.

Output
For the total energy, the calculation gives -84.982 eV for the cell shown.

a = 6.4010 Å, b = 6.4010 Å, c = 6.4010 Å
α = 90.00°, β = 90.00°, γ = 90.00°
Space group F-43m (No. 216)
Inequivalent atoms, fractional coordinates:
Co (0.0000, 0.0000, 0.0000) (multiplicity 4)
Bi (0.2500, 0.2500, 0.7500) (multiplicity 4)
Pd (0.0000, 0.0000, 0.5000) (multiplicity 4)
Pd (0.2500, 0.2500, 0.2500) (multiplicity 4)

***

[4]
CoBiPd after structural relaxation, computed with PBE.

Output
For the distance to the lowest polymorph of the same formula, the calculation gives 45.9 meV/atom.

a = 3.6259 Å, b = 3.6259 Å, c = 32.0583 Å
α = 90.00°, β = 90.00°, γ = 120.00°
Space group R-3m (No. 166, hexagonal axes)
Inequivalent atoms, fractional coordinates:
Co (0.0000, 0.0000, 0.1817) (multiplicity 6)
Bi (0.0000, 0.0000, 0.3785) (multiplicity 6)
Pd (0.0000, 0.0000, 0.1025) (multiplicity 6)

***

[5]
CoBiPd after structural relaxation, computed with PBE.

Output
For the distance to the lowest polymorph of the same formula, the calculation gives 0.0 meV/atom.

a = 6.0913 Å, b = 6.0913 Å, c = 6.0913 Å
α = 90.00°, β = 90.00°, γ = 90.00°
Space group F-43m (No. 216)
Inequivalent atoms, fractional coordinates:
Co (0.0000, 0.0000, 0.0000) (multiplicity 4)
Bi (0.2500, 0.2500, 0.7500) (multiplicity 4)
Pd (0.2500, 0.2500, 0.2500) (multiplicity 4)

***

[6]
CoReBiPd after structural relaxation, computed with PBE.

Output
For the distance to the lowest polymorph of the same formula, the calculation gives 0.0 meV/atom.

a = 6.4041 Å, b = 6.4041 Å, c = 6.4041 Å
α = 90.00°, β = 90.00°, γ = 90.00°
Space group F-43m (No. 216)
Inequivalent atoms, fractional coordinates:
Co (0.0000, 0.0000, 0.0000) (multiplicity 4)
Re (0.0000, 0.0000, 0.5000) (multiplicity 4)
Bi (0.2500, 0.2500, 0.7500) (multiplicity 4)
Pd (0.2500, 0.2500, 0.2500) (multiplicity 4)

***

[7]
CoBiPdW after structural relaxation, computed with PBE.

Output
For the distance to the lowest polymorph of the same formula, the calculation gives 0.0 meV/atom.

a = 6.4256 Å, b = 6.4256 Å, c = 6.4256 Å
α = 90.00°, β = 90.00°, γ = 90.00°
Space group F-43m (No. 216)
Inequivalent atoms, fractional coordinates:
Co (0.0000, 0.0000, 0.0000) (multiplicity 4)
Bi (0.2500, 0.2500, 0.7500) (multiplicity 4)
Pd (0.2500, 0.2500, 0.2500) (multiplicity 4)
W (0.0000, 0.0000, 0.5000) (multiplicity 4)

***

[8]
CoBiPdW after structural relaxation, computed with PBE.

Output
For the distance to the lowest polymorph of the same formula, the calculation gives 34.2 meV/atom.

a = 6.4711 Å, b = 6.4711 Å, c = 6.4711 Å
α = 90.00°, β = 90.00°, γ = 90.00°
Space group F-43m (No. 216)
Inequivalent atoms, fractional coordinates:
Co (0.0000, 0.0000, 0.0000) (multiplicity 4)
Bi (0.2500, 0.2500, 0.7500) (multiplicity 4)
Pd (0.0000, 0.0000, 0.5000) (multiplicity 4)
W (0.2500, 0.2500, 0.2500) (multiplicity 4)